Computed, not measured: a PBEsol-optimized structure of TeMoWS3 at the SCAN level of DFT.

It has space group P-6m2 (No. 187), with a = 3.2247 Å, b = 3.2247 Å, c = 25.7372 Å, α = 90.00°, β = 90.00° and γ = 120.00°. The distinct sites, in fractional coordinates, are Te at (0.0000, 0.0000, 0.0752), Mo at (0.0000, 0.0000, 0.2591), W at (0.6667, 0.3333, 0.0000), W at (0.6667, 0.3333, 0.5000), S at (0.0000, 0.0000, 0.4401), S at (0.6667, 0.3333, 0.1997) and S at (0.6667, 0.3333, 0.3184).

The uncorrected formation energy is -629 meV/atom. The value obtained for the total energy is -29.0806 eV per atom.

Computed, not measured: a PBEsol-optimized structure of Al2RuCl at the SCAN level of DFT.

It has space group R-3m (No. 166, hexagonal axes), with a = 3.0694 Å, b = 3.0694 Å, c = 22.8348 Å, α = 90.00°, β = 90.00° and γ = 120.00°. The distinct sites, in fractional coordinates, are Al at (0.0000, 0.0000, 0.2425), Ru at (0.0000, 0.0000, 0.5000) and Cl at (0.0000, 0.0000, 0.0000).

The uncorrected formation energy is -525 meV/atom. As for the energy above the lowest structure with this stoichiometry: 11.1 meV/atom. The value obtained for the total energy is -15.1022 eV per atom.

Computed, not measured: a PBEsol-optimized structure of CaZnRh at the SCAN level of DFT.

It has space group I4mm (No. 107), with a = 3.289 Å, b = 3.289 Å, c = 10.096 Å, α = 90.00°, β = 90.00° and γ = 90.00°. The distinct sites, in fractional coordinates, are Ca at (0.000, 0.000, 0.000), Zn at (0.000, 0.000, 0.290) and Rh at (0.000, 0.000, 0.691).

For the formation energy, the calculation gives -393.7 meV per atom. The value obtained for the total energy is -19.3770 eV per atom.

What did the third record say?
Computed, not measured: a PBEsol-optimized structure of CaZnRh at the SCAN level of DFT.

It has space group I4mm (No. 107), with a = 3.289 Å, b = 3.289 Å, c = 10.096 Å, α = 90.00°, β = 90.00° and γ = 90.00°. The distinct sites, in fractional coordinates, are Ca at (0.000, 0.000, 0.000), Zn at (0.000, 0.000, 0.290) and Rh at (0.000, 0.000, 0.691).

For the formation energy, the calculation gives -393.7 meV per atom. The value obtained for the total energy is -19.3770 eV per atom.